# MgNiB2P2H12O16

A geometry-optimized MgNiB2P2H12O16 structure (GGA+U, Alexandria).

Cell lengths 9.838, 9.838, 9.838 Å; angles 99.47, 99.47, 99.47 degrees
Element x y z (fractional)
1 O 0.872 0.136 0.878
2 H 0.271 0.089 0.387
3 H 0.227 0.543 0.227
4 O 0.661 0.658 0.962
5 B 0.000 0.809 0.191
6 H 0.457 0.773 0.773
7 H 0.082 0.777 0.383
8 O 0.864 0.128 0.122
9 O 0.339 0.038 0.342
10 H 0.773 0.773 0.457
11 H 0.955 0.277 0.277
12 O 0.351 0.541 0.845
13 O 0.355 0.849 0.551
14 H 0.777 0.383 0.082
15 H 0.729 0.613 0.911
16 Mg 0.001 0.500 0.999
17 H 0.116 0.231 0.411
18 B 0.191 0.000 0.809
19 P 0.690 0.500 0.310
20 H 0.387 0.271 0.089
21 O 0.038 0.342 0.339
22 O 0.463 0.160 0.164
23 H 0.411 0.116 0.231
24 O 0.143 0.651 0.950
25 H 0.543 0.227 0.227
26 O 0.840 0.537 0.836
27 P 0.000 0.190 0.810
28 B 0.308 0.500 0.692
29 O 0.148 0.959 0.656
30 H 0.383 0.082 0.777
31 Ni 0.000 0.501 0.499
32 O 0.649 0.155 0.459
33 O 0.349 0.857 0.050
34 H 0.418 0.723 0.115
35 H 0.884 0.589 0.769
36 P 0.500 0.310 0.690
37 Ni 0.501 0.499 0.000
38 H 0.613 0.911 0.729
39 O 0.128 0.122 0.864
40 H 0.277 0.277 0.955
41 O 0.373 0.378 0.637
42 P 0.310 0.690 0.500
43 O 0.155 0.459 0.649
44 O 0.537 0.836 0.840
45 O 0.541 0.845 0.351
46 O 0.658 0.962 0.661
47 B 0.809 0.191 0.000
48 O 0.849 0.551 0.355
49 O 0.878 0.872 0.136
50 O 0.041 0.852 0.344
51 O 0.551 0.355 0.849
52 P 0.190 0.810 0.000
53 H 0.911 0.729 0.613
54 O 0.950 0.143 0.651
55 O 0.857 0.050 0.349
56 P 0.810 0.000 0.190
57 H 0.769 0.884 0.589
58 H 0.723 0.115 0.418
59 Mg 0.999 0.001 0.500
60 O 0.160 0.164 0.463
61 B 0.500 0.692 0.308
62 H 0.723 0.723 0.045
63 H 0.115 0.418 0.723
64 O 0.962 0.661 0.658
65 Ni 0.499 0.000 0.501
66 O 0.622 0.627 0.363
67 O 0.637 0.373 0.378
68 O 0.136 0.878 0.872
69 Mg 0.500 0.999 0.001
70 H 0.723 0.045 0.723
71 H 0.223 0.918 0.617
72 H 0.773 0.457 0.773
73 O 0.852 0.344 0.041
74 O 0.836 0.840 0.537
75 O 0.959 0.656 0.148
76 O 0.342 0.339 0.038
77 O 0.378 0.637 0.373
78 H 0.582 0.885 0.277
79 O 0.645 0.449 0.151
80 O 0.845 0.351 0.541
81 O 0.656 0.148 0.959
82 H 0.885 0.277 0.582
83 H 0.277 0.582 0.885
84 O 0.122 0.864 0.128
85 H 0.045 0.723 0.723
86 O 0.344 0.041 0.852
87 O 0.151 0.645 0.449
88 O 0.459 0.649 0.155
89 O 0.050 0.349 0.857
90 O 0.363 0.622 0.627
91 H 0.227 0.227 0.543
92 H 0.277 0.955 0.277
93 O 0.627 0.363 0.622
94 H 0.918 0.617 0.223
95 O 0.449 0.151 0.645
96 B 0.692 0.308 0.500
97 H 0.231 0.411 0.116
98 O 0.651 0.950 0.143
99 O 0.164 0.463 0.160
100 H 0.617 0.223 0.918
101 H 0.589 0.769 0.884
102 H 0.089 0.387 0.271

Results
crystal system: trigonal
V: 908.3 Å³ per cell
M_tot: 2.0 μB/f.u.
symmetry: R32, No. 155
raw total energy: -611.79 eV/cell